(1)
Compound: Mg2TlRe
Source: Alexandria via LeMat-Bulk
Functional: PBE
Structure: optimized geometry

a b c (Å): 5.854 8.782 2.922
angles (deg): 90.00 90.29 90.00
Space group C2/m (No. 12)
Symmetry-distinct sites (fractional):
Mg1 0.250 0.250 0.000 (multiplicity 4)
Tl1 0.000 0.000 0.500 (multiplicity 2)
Re1 0.000 0.500 0.500 (multiplicity 2)

The relative energy among the computed polymorphs comes out at 59.1 meV per atom.

***

(2)
Compound: Mg2TlRe
Source: Alexandria via LeMat-Bulk
Functional: PBE
Structure: optimized geometry

a b c (Å): 3.447 4.759 9.761
angles (deg): 90.00 90.00 90.00
Space group Cmm2 (No. 35)
Symmetry-distinct sites (fractional):
Mg1 0.000 0.000 0.000 (multiplicity 2)
Mg2 0.000 0.500 0.262 (multiplicity 2)
Tl1 0.000 0.000 0.536 (multiplicity 2)
Re1 0.000 0.500 0.783 (multiplicity 2)

The relative energy among the computed polymorphs comes out at 161.5 meV per atom.

***

(3)
Compound: Mg2TlRe
Source: Alexandria via LeMat-Bulk
Functional: PBE
Structure: optimized geometry

a b c (Å): 2.921 4.344 5.975
angles (deg): 90.00 90.97 90.00
Space group P2/m (No. 10)
Symmetry-distinct sites (fractional):
Mg1 0.003 0.000 0.278 (multiplicity 2)
Tl1 0.500 0.500 0.000 (multiplicity 1)
Re1 0.500 0.500 0.500 (multiplicity 1)

The relative energy among the computed polymorphs comes out at 50.0 meV per atom.

***

(4)
Compound: Mg2TlRe
Source: Alexandria via LeMat-Bulk
Functional: PBE
Structure: optimized geometry

a b c (Å): 10.091 2.935 5.220
angles (deg): 90.00 98.40 90.00
Space group C2/m (No. 12)
Symmetry-distinct sites (fractional):
Mg1 0.238 0.000 0.230 (multiplicity 4)
Tl1 0.000 0.000 0.500 (multiplicity 2)
Re1 0.000 0.500 0.000 (multiplicity 2)

The relative energy among the computed polymorphs comes out at 141.4 meV per atom.

***

(5)
Compound: Mg2TlRe
Source: Alexandria via LeMat-Bulk
Functional: PBE
Structure: optimized geometry

a b c (Å): 4.081 4.081 9.011
angles (deg): 90.00 90.00 90.00
Space group I4/mmm (No. 139)
Symmetry-distinct sites (fractional):
Mg1 0.000 0.500 0.250 (multiplicity 4)
Tl1 0.000 0.000 0.000 (multiplicity 2)
Re1 0.000 0.000 0.500 (multiplicity 2)

The relative energy among the computed polymorphs comes out at 134.6 meV per atom.

***

(6)
Compound: MgTl3Re
Source: Alexandria via LeMat-Bulk
Functional: PBE
Structure: optimized geometry

a b c (Å): 5.360 5.360 5.360
angles (deg): 90.00 90.00 90.00
Space group Pm-3m (No. 221)
Symmetry-distinct sites (fractional):
Mg1 0.000 0.000 0.000 (multiplicity 1)
Tl1 0.000 0.500 0.500 (multiplicity 3)
Re1 0.500 0.500 0.500 (multiplicity 1)

The relative energy among the computed polymorphs comes out at 0.0 meV per atom.

***

(7)
Compound: Mg2TlRe
Source: Alexandria via LeMat-Bulk
Functional: PBE
Structure: optimized geometry

a b c (Å): 2.959 2.959 9.099
angles (deg): 90.00 90.00 90.00
Space group P4/mmm (No. 123)
Symmetry-distinct sites (fractional):
Mg1 0.000 0.000 0.215 (multiplicity 2)
Tl1 0.500 0.500 0.500 (multiplicity 1)
Re1 0.500 0.500 0.000 (multiplicity 1)

The relative energy among the computed polymorphs comes out at 4.7 meV per atom.

***

(8)
Compound: Mg2TlRe
Source: Alexandria via LeMat-Bulk
Functional: PBE
Structure: optimized geometry

a b c (Å): 4.031 4.031 9.014
angles (deg): 90.00 90.00 90.00
Space group I-4m2 (No. 119)
Symmetry-distinct sites (fractional):
Mg1 0.000 0.000 0.000 (multiplicity 2)
Mg2 0.000 0.500 0.250 (multiplicity 2)
Tl1 0.000 0.000 0.500 (multiplicity 2)
Re1 0.000 0.500 0.750 (multiplicity 2)

The relative energy among the computed polymorphs comes out at 56.1 meV per atom.

***

(9)
Compound: Mg2TlRe
Source: Alexandria via LeMat-Bulk
Functional: PBE
Structure: optimized geometry

a b c (Å): 3.525 3.525 6.136
angles (deg): 90.00 90.00 90.00
Space group P4mm (No. 99)
Symmetry-distinct sites (fractional):
Mg1 0.000 0.000 0.000 (multiplicity 1)
Mg2 0.500 0.500 0.268 (multiplicity 1)
Tl1 0.500 0.500 0.730 (multiplicity 1)
Re1 0.000 0.000 0.479 (multiplicity 1)

The relative energy among the computed polymorphs comes out at 161.8 meV per atom.

***

(10)
Compound: Mg2TlRe
Source: Alexandria via LeMat-Bulk
Functional: PBE
Structure: optimized geometry

a b c (Å): 2.914 4.456 5.851
angles (deg): 90.00 90.00 90.00
Space group Pmm2 (No. 25)
Symmetry-distinct sites (fractional):
Mg1 0.000 0.000 0.000 (multiplicity 1)
Mg2 0.500 0.500 0.267 (multiplicity 1)
Tl1 0.500 0.500 0.742 (multiplicity 1)
Re1 0.000 0.000 0.473 (multiplicity 1)

The relative energy among the computed polymorphs comes out at 105.2 meV per atom.

***

(11)
Compound: Mg3TlRe
Source: Alexandria via LeMat-Bulk
Functional: PBE
Structure: optimized geometry

a b c (Å): 5.221 5.221 5.221
angles (deg): 90.00 90.00 90.00
Space group Pm-3m (No. 221)
Symmetry-distinct sites (fractional):
Mg1 0.000 0.000 0.500 (multiplicity 3)
Tl1 0.000 0.000 0.000 (multiplicity 1)
Re1 0.500 0.500 0.500 (multiplicity 1)

The relative energy among the computed polymorphs comes out at 547.1 meV per atom.

***

(12)
Compound: MgTl4Re
Source: Alexandria via LeMat-Bulk
Functional: PBE
Structure: optimized geometry

a b c (Å): 8.723 8.723 8.723
angles (deg): 90.00 90.00 90.00
Space group F-43m (No. 216)
Symmetry-distinct sites (fractional):
Mg1 0.000 0.000 0.000 (multiplicity 4)
Tl1 0.125 0.125 0.375 (multiplicity 16)
Re1 0.250 0.250 0.750 (multiplicity 4)

***

(13)
Compound: Mg2TlRe
Source: Alexandria via LeMat-Bulk
Functional: PBE
Structure: optimized geometry

a b c (Å): 3.351 4.656 9.727
angles (deg): 90.00 90.00 90.00
Space group Immm (No. 71)
Symmetry-distinct sites (fractional):
Mg1 0.000 0.000 0.232 (multiplicity 4)
Tl1 0.000 0.500 0.000 (multiplicity 2)
Re1 0.000 0.500 0.500 (multiplicity 2)

The relative energy among the computed polymorphs comes out at 107.4 meV per atom.

***

(14)
Compound: Mg4TlRe
Source: Alexandria via LeMat-Bulk
Functional: PBE
Structure: optimized geometry

a b c (Å): 7.796 7.796 7.796
angles (deg): 90.00 90.00 90.00
Space group F-43m (No. 216)
Symmetry-distinct sites (fractional):
Mg1 0.124 0.124 0.124 (multiplicity 16)
Tl1 0.000 0.000 0.500 (multiplicity 4)
Re1 0.250 0.250 0.750 (multiplicity 4)

***

(15)
Compound: Mg2TlRe
Source: Alexandria via LeMat-Bulk
Functional: PBE
Structure: optimized geometry

a b c (Å): 10.019 2.876 5.309
angles (deg): 90.00 95.82 90.00
Space group Cm (No. 8)
Symmetry-distinct sites (fractional):
Mg1 0.000 0.000 0.000 (multiplicity 2)
Mg2 0.237 0.000 0.726 (multiplicity 2)
Tl1 0.254 0.500 0.248 (multiplicity 2)
Re1 0.499 0.000 0.519 (multiplicity 2)

The relative energy among the computed polymorphs comes out at 62.6 meV per atom.

***

(16)
Compound: Mg2TlRe
Source: Alexandria via LeMat-Bulk
Functional: PBE
Structure: optimized geometry

a b c (Å): 6.710 6.710 6.710
angles (deg): 90.00 90.00 90.00
Space group F-43m (No. 216)
Symmetry-distinct sites (fractional):
Mg1 0.000 0.000 0.000 (multiplicity 4)
Mg2 0.250 0.250 0.250 (multiplicity 4)
Tl1 0.250 0.250 0.750 (multiplicity 4)
Re1 0.000 0.000 0.500 (multiplicity 4)

The relative energy among the computed polymorphs comes out at 230.5 meV per atom.

***

(17)
Compound: Mg2TlRe
Source: Alexandria via LeMat-Bulk
Functional: PBE
Structure: optimized geometry

a b c (Å): 3.0721 3.0721 28.5880
angles (deg): 90.00 90.00 120.00
Space group R-3m (No. 166, hexagonal axes)
Symmetry-distinct sites (fractional):
Mg1 0.0000 0.0000 0.2436 (multiplicity 6)
Tl1 0.0000 0.0000 0.0000 (multiplicity 3)
Re1 0.0000 0.0000 0.5000 (multiplicity 3)

The relative energy among the computed polymorphs comes out at 45.2 meV per atom.

***

(18)
Compound: Mg2TlRe
Source: Alexandria via LeMat-Bulk
Functional: PBE
Structure: optimized geometry

a b c (Å): 6.679 6.679 6.679
angles (deg): 90.00 90.00 90.00
Space group Fm-3m (No. 225)
Symmetry-distinct sites (fractional):
Mg1 0.250 0.250 0.250 (multiplicity 8)
Tl1 0.000 0.000 0.000 (multiplicity 4)
Re1 0.000 0.000 0.500 (multiplicity 4)

The relative energy among the computed polymorphs comes out at 235.8 meV per atom.

***

(19)
Compound: Mg2TlRe
Source: Alexandria via LeMat-Bulk
Functional: PBE
Structure: optimized geometry

a b c (Å): 3.583 4.632 9.560
angles (deg): 90.00 90.00 90.00
Space group Cmmm (No. 65)
Symmetry-distinct sites (fractional):
Mg1 0.000 0.000 0.217 (multiplicity 4)
Tl1 0.000 0.500 0.500 (multiplicity 2)
Re1 0.000 0.500 0.000 (multiplicity 2)

The relative energy among the computed polymorphs comes out at 0.0 meV per atom.

***

(20)
Compound: YMg2TlRe
Source: Alexandria via LeMat-Bulk
Functional: PBE
Structure: optimized geometry

a b c (Å): 5.712 5.712 5.695
angles (deg): 90.00 90.00 90.00
Space group P4/mmm (No. 123)
Symmetry-distinct sites (fractional):
Y1 0.000 0.000 0.000 (multiplicity 1)
Mg1 0.000 0.500 0.000 (multiplicity 2)
Tl1 0.000 0.000 0.500 (multiplicity 1)
Re1 0.500 0.500 0.500 (multiplicity 1)

***

Number 1: ΔH_f (0 K) 432 meV per atom, density 9.71 g/cm3. Number 2: ΔH_f (0 K) 534 meV per atom, density 9.11 g/cm3. Number 3: ΔH_f (0 K) 423 meV per atom, density 9.62 g/cm3. Number 4: ΔH_f (0 K) 514 meV per atom, density 9.54 g/cm3. Number 5: ΔH_f (0 K) 507 meV per atom, density 9.72 g/cm3. Number 6: ΔH_f (0 K) 710 meV per atom, density 8.88 g/cm3. Number 7: ΔH_f (0 K) 377 meV per atom, density 9.15 g/cm3. Number 8: ΔH_f (0 K) 429 meV per atom, density 9.96 g/cm3. Number 9: ΔH_f (0 K) 535 meV per atom, density 9.57 g/cm3. Number 10: ΔH_f (0 K) 478 meV per atom, density 9.60 g/cm3. Number 11: ΔH_f (0 K) 1397 meV per atom, density 5.41 g/cm3. Number 12: ΔH_f (0 K) 1076 meV per atom, density 10.29 g/cm3. Number 13: ΔH_f (0 K) 480 meV per atom, density 9.61 g/cm3. Number 14: ΔH_f (0 K) 625 meV per atom, density 6.84 g/cm3. Number 15: ΔH_f (0 K) 435 meV per atom, density 9.59 g/cm3. Number 16: ΔH_f (0 K) 603 meV per atom, density 9.66 g/cm3. Number 17: ΔH_f (0 K) 418 meV per atom, density 9.36 g/cm3. Number 18: ΔH_f (0 K) 609 meV per atom, density 9.79 g/cm3. Number 19: ΔH_f (0 K) 373 meV per atom, density 9.19 g/cm3. Number 20: ΔH_f (0 K) 2016 meV per atom, density 4.72 g/cm3.